Record 1
Material: Na3Sn4Hg2
Method: DFT, PBE
State: relaxed

Computed properties:
The total energy comes out at -0.179 Ry/atom. The calculation puts the energy of formation at -3.3 kcal/mol of atoms. Its excess energy over the best structure of this formula in the dataset is 2.9 meV/atom. Its symmetry is P-1, No. 2.

Lattice parameters (Å, degrees): 6.2806 5.1877 8.2232 87.91 75.12 66.73
Closest atoms and distances in Å follow each position.
Fractional positions:
Sn: 0.3406 0.3310 0.0422  1 Hg 3.09, 3 Sn 3.09-3.21, 4 Na 3.31-3.41
Hg: 0.4076 0.7882 0.6701  4 Na 3.07-3.23, 4 Sn 3.08-3.26
Sn: 0.1224 0.4284 0.6542  3 Hg 3.08-3.26, 2 Sn 3.14-3.21, 1 Na 3.34
Hg: 0.5924 0.2118 0.3299  4 Na 3.07-3.23, 4 Sn 3.08-3.26
Na: 0.7387 0.1258 0.6634  3 Hg 3.07-3.23, 3 Sn 3.34-3.41
Sn: 0.8776 0.5716 0.3458  3 Hg 3.08-3.26, 2 Sn 3.14-3.21, 1 Na 3.34
Na: 0.2613 0.8742 0.3366  3 Hg 3.07-3.23, 3 Sn 3.34-3.41
Na: 0.0000 0.0000 0.0000  2 Hg 3.09, 4 Sn 3.31-3.34
Sn: 0.6594 0.6690 0.9578  1 Hg 3.09, 3 Sn 3.09-3.21, 4 Na 3.31-3.41

Record 2
Material: HoAg2Hg3
Method: DFT, PBE
State: relaxed

Computed properties:
The total energy comes out at -0.146 Ry/atom. The calculation puts the energy of formation at -2.8 kcal/mol of atoms. Its symmetry is C2/m, No. 12.

Lattice parameters (Å, degrees): 3.9263 6.7948 10.6137 91.91 100.66 90.00
Closest atoms and distances in Å follow each position.
Fractional positions:
Hg: 0.7885 0.8671 0.5770  2 Ag 2.86, 3 Hg 3.08-3.14
Hg: 0.4325 0.5354 0.8650  3 Ag 2.87-3.00, 3 Hg 2.87-3.10, 1 Ho 3.10
Hg: 0.2115 0.1329 0.4230  2 Ag 2.86, 3 Hg 3.08-3.14
Ho: 0.4052 0.9809 0.8103  4 Ag 3.09-3.18, 5 Hg 3.10-3.20
Ag: 0.2957 0.5634 0.5914  2 Ag 2.85, 6 Hg 2.86-3.17
Hg: 0.1531 0.7100 0.3062  4 Ag 2.93-3.17, 3 Hg 3.08-3.10, 2 Ho 3.15
Ag: 0.9946 0.2102 0.9892  1 Ag 2.87, 3 Hg 3.00-3.15, 4 Ho 3.09-3.18
Hg: 0.8469 0.2900 0.6938  4 Ag 2.93-3.17, 3 Hg 3.08-3.10, 2 Ho 3.15
Ag: 0.0054 0.7898 0.0108  1 Ag 2.87, 3 Hg 3.00-3.15, 4 Ho 3.09-3.18
Ho: 0.5948 0.0191 0.1897  4 Ag 3.09-3.18, 5 Hg 3.10-3.20
Ag: 0.7043 0.4366 0.4086  2 Ag 2.85, 6 Hg 2.86-3.17
Hg: 0.5675 0.4646 0.1350  3 Ag 2.87-3.00, 3 Hg 2.87-3.10, 1 Ho 3.10

Record 3
Material: TeIr2SO
Method: DFT, PBE
State: relaxed

Computed properties:
The total energy comes out at -0.385 Ry/atom. Its symmetry is P4/mmm, No. 123. As for the uncorrected formation energy: 755.3 meV per atom.

Lattice parameters (Å, degrees): 3.9534 5.6194 3.9534 90.00 90.00 90.00
Closest atoms and distances in Å follow each position.
Fractional positions:
Ir: 0.0000 0.0000 0.5000  2 O 1.98
S: 0.0000 0.5000 0.0000  4 Te 2.80, 2 O 2.81
Te: 0.5000 0.5000 0.5000  4 S 2.80
Ir: 0.5000 0.0000 0.0000  2 O 1.98
O: 0.0000 0.0000 0.0000  4 Ir 1.98

Record 4
Material: Dy4GeRh2
Method: DFT, PBE
State: relaxed

Computed properties:
The total energy comes out at -0.448 Ry/atom. The calculation puts the energy of formation at -16.2 kcal/mol of atoms. Its symmetry is P1, No. 1.

Lattice parameters (Å, degrees): 7.8082 7.8053 7.1481 108.50 108.51 112.56
Closest atoms and distances in Å follow each position.
Fractional positions:
Dy: 0.2443 0.1386 0.7285  2 Rh 2.80-2.83, 1 Ge 2.93
Dy: 0.7418 0.1223 0.7601  3 Rh 2.82-3.06, 2 Ge 2.92-3.10
Rh: 0.5461 0.3689 0.6323  6 Dy 2.74-3.06
Rh: 0.7379 0.8589 0.3636  5 Dy 2.77-2.95
Rh: 0.1086 0.4873 0.8632  5 Dy 2.77-2.95
Dy: 0.8870 0.6417 0.6212  3 Rh 2.74-2.99, 1 Ge 2.90
Dy: 0.3889 0.9953 0.2285  2 Rh 2.80-2.83, 1 Ge 2.93
Ge: 0.0118 0.0148 0.0234  6 Dy 2.89-3.11
Rh: 0.6190 0.2964 0.1315  6 Dy 2.74-3.06
Dy: 0.4911 0.6931 0.8710  3 Rh 2.77-2.95, 1 Ge 2.89
Dy: 0.8926 0.6376 0.1217  3 Rh 2.74-2.99, 1 Ge 2.90
Dy: 0.3726 0.4923 0.2604  3 Rh 2.82-3.06, 2 Ge 2.92-3.10
Dy: 0.9433 0.2410 0.3704  3 Rh 2.77-2.95, 1 Ge 2.89
Ge: 0.2649 0.7619 0.5241  6 Dy 2.89-3.11